--- A ---
Tb8Pr2Y | PBE-GGA | optimized geometry

Output
magnetic moment: 0.0 μB per formula unit

Lattice parameters (Å, degrees): 6.684 6.702 8.987 99.18 111.83 90.00
Sites, in units of the cell vectors:
1 Tb 0.826 0.402 0.174
2 Tb 0.652 0.598 0.826
3 Tb 0.801 0.197 0.603
4 Tb 0.199 0.803 0.397
5 Tb 0.348 0.402 0.174
6 Tb 0.174 0.598 0.826
7 Tb 0.589 0.907 0.177
8 Tb 0.411 0.093 0.823
9 Pr 0.755 0.689 0.510
10 Pr 0.245 0.311 0.490
11 Y 0.000 0.000 0.000



--- B ---
Tb8Pr2Y | PBE-GGA | optimized geometry

Output
magnetic moment: 0.0 μB per formula unit

Lattice parameters (Å, degrees): 5.950 9.100 9.306 60.73 74.41 56.64
Sites, in units of the cell vectors:
1 Tb 0.824 0.099 0.231
2 Tb 0.824 0.330 0.769
3 Tb 0.296 0.427 0.000
4 Tb 0.500 0.793 0.414
5 Tb 0.500 0.207 0.586
6 Tb 0.704 0.573 0.000
7 Tb 0.176 0.670 0.231
8 Tb 0.176 0.901 0.769
9 Pr 0.000 0.307 0.386
10 Pr 0.000 0.693 0.614
11 Y 0.500 0.000 0.000



Verdict on stability: B comes out on top.